Density functional theory data (PBE with a Hubbard U) for a relaxed Dy12Fe3O5 crystal.

```
Dy12Fe3O5
1.0
13.2390 0.0000 0.0000
-4.4130 12.4818 0.0000
-4.4130 -6.2409 10.8096
Dy Fe O
48 12 20
Direct
0.4041 0.3887 0.5908
0.4041 0.0155 0.3133
0.6867 0.2021 0.5908
0.5959 0.6113 0.4092
0.0959 0.1867 0.4845
0.8887 0.5908 0.9041
0.1113 0.7021 0.5155
0.2021 0.6867 0.0908
0.4845 0.6867 0.0959
0.7979 0.4845 0.3887
0.5155 0.2021 0.1113
0.4092 0.1113 0.5959
0.8133 0.9092 0.2979
0.2021 0.5155 0.6113
0.9041 0.0908 0.8887
0.1113 0.4092 0.0959
0.0155 0.6113 0.7021
0.5908 0.7021 0.6867
0.3133 0.7979 0.4092
0.8887 0.2979 0.4845
0.5908 0.8887 0.4041
0.8133 0.9041 0.0155
0.6113 0.5959 0.9092
0.3887 0.4041 0.0908
0.6113 0.0155 0.2021
0.9845 0.3887 0.2979
0.9041 0.8133 0.5155
0.9845 0.5959 0.1867
0.4845 0.7979 0.8887
0.1867 0.0959 0.9845
0.9092 0.8133 0.7979
0.4092 0.2979 0.3133
0.5959 0.9845 0.6867
0.0155 0.4041 0.8133
0.2979 0.4092 0.8133
0.9092 0.0959 0.6113
0.6867 0.4845 0.5959
0.3133 0.5155 0.4041
0.5155 0.3133 0.9041
0.1867 0.0908 0.7021
0.0908 0.9041 0.3887
0.7979 0.3133 0.9092
0.3887 0.9845 0.7979
0.7021 0.5908 0.1867
0.0908 0.1867 0.2021
0.0959 0.9092 0.1113
0.7021 0.1113 0.0155
0.2979 0.8887 0.9845
0.6250 0.3750 0.7500
0.8750 0.7500 0.1250
0.1250 0.8750 0.7500
0.3750 0.7500 0.6250
0.2500 0.1250 0.3750
0.7500 0.8750 0.6250
0.6250 0.2500 0.3750
0.7500 0.3750 0.1250
0.3750 0.6250 0.2500
0.1250 0.2500 0.8750
0.8750 0.1250 0.2500
0.2500 0.6250 0.8750
0.0000 0.5000 0.0000
0.5000 0.5000 0.5000
0.7500 0.1250 0.8750
0.5000 0.0000 0.5000
0.0000 0.0000 0.0000
0.2500 0.8750 0.1250
0.6250 0.7500 0.8750
0.3750 0.2500 0.1250
0.7500 0.6250 0.3750
0.1250 0.3750 0.2500
0.5000 0.5000 0.0000
0.2500 0.3750 0.6250
0.0000 0.5000 0.5000
0.6250 0.8750 0.2500
0.1250 0.7500 0.3750
0.5000 0.0000 0.0000
0.0000 0.0000 0.5000
0.8750 0.2500 0.6250
0.8750 0.6250 0.7500
0.3750 0.1250 0.7500
```

## Properties
- E_tot: -5.91 eV per atom
- Spin magnetization: 2.4 μB per formula unit